A | ## CeEr2C (PBE)

Data for an optimized crystal structure of CeEr2C.

Structure (POSCAR):
```
CeEr2C
1.0
1.7259 0.9964 9.7083
-1.7259 0.9964 9.7083
0.0000 -1.9929 9.7083
Ce Er C
1 2 1
direct
0.0000 0.0000 0.0000 Ce
0.1203 0.1203 0.1203 Er
0.8797 0.8797 0.8797 Er
0.5000 0.5000 0.5000 C
```

Properties
As for the space group: R-3m, No. 166. The spin magnetization is 1.395 μB per cell.


B | ## CeEr2C (PBE)

Data for an optimized crystal structure of CeEr2C.

Structure (POSCAR):
```
CeEr2C
1.0
3.1797 0.0000 0.0000
0.0000 3.1797 0.0000
0.0000 0.0000 8.6535
Ce Er C
1 2 1
direct
0.0000 0.0000 0.0000 Ce
0.5000 0.5000 0.3436 Er
0.5000 0.5000 0.6564 Er
0.0000 0.0000 0.5000 C
```

Properties
As for the space group: P4/mmm, No. 123. The spin magnetization is 1.433 μB per cell.


Energy relative to the most stable one, in kJ/mol of atoms: A 0.0; B 33.5


A | ## CeCF (PBE)

Data for an optimized crystal structure of CeCF.

Structure (POSCAR):
```
CeCF
1.0
3.7633 0.0000 0.0000
-1.8816 3.2591 0.0000
0.0000 0.0000 4.2491
Ce C F
1 1 1
direct
0.0000 0.0000 0.0000 Ce
0.3333 0.6667 0.8019 C
0.6667 0.3333 0.2573 F
```

Properties
As for the space group: P3m1, No. 156. The spin magnetization is 0.949 μB per cell.


B | ## CeCF (PBE)

Data for an optimized crystal structure of CeCF.

Structure (POSCAR):
```
CeCF
1.0
3.5004 -1.9066 0.0000
3.5004 1.9066 0.0000
-0.8378 0.0000 6.8053
Ce C F
2 2 2
direct
0.1490 0.1490 0.2211 Ce
0.8510 0.8510 0.7789 Ce
0.4291 0.4291 0.0600 C
0.5709 0.5709 0.9400 C
0.1782 0.1782 0.6065 F
0.8218 0.8218 0.3935 F
```

Properties
As for the space group: C2/m, No. 12. The spin magnetization is 0.698 μB per cell.


C | ## CeCF (PBE)

Data for an optimized crystal structure of CeCF.

Structure (POSCAR):
```
CeCF
1.0
3.4349 -1.8547 0.0000
3.4349 1.8547 0.0000
-1.7372 0.0000 8.1763
Ce C F
2 2 2
direct
0.0750 0.0750 0.3136 Ce
0.9250 0.9250 0.6864 Ce
0.4084 0.4084 0.4493 C
0.5916 0.5916 0.5507 C
0.3152 0.3152 0.8345 F
0.6848 0.6848 0.1655 F
```

Properties
As for the space group: C2/m, No. 12. The spin magnetization is 0.353 μB per cell.


Energy relative to the most stable one, in kJ/mol of atoms: A 98.6; B 0.0; C 5.6


A | ## CeFeC (PBE)

Data for an optimized crystal structure of CeFeC.

Structure (POSCAR):
```
CeFeC
1.0
3.4037 0.0000 0.0000
-1.7019 2.9477 0.0000
0.0000 0.0000 4.1539
Ce Fe C
1 1 1
direct
0.0000 0.0000 0.0000 Ce
0.6667 0.3333 0.5000 Fe
0.3333 0.6667 0.5000 C
```

Properties
As for the space group: P-6m2, No. 187. The spin magnetization is 0.010 μB per cell.


B | ## CeFeC (PBE)

Data for an optimized crystal structure of CeFeC.

Structure (POSCAR):
```
CeFeC
1.0
3.4961 0.0000 0.0000
0.0000 5.7111 0.0000
0.0000 0.0000 8.6321
Ce Fe C
4 4 4
direct
0.1398 0.1603 0.1682 Ce
0.3602 0.8397 0.6682 Ce
0.6398 0.3397 0.8318 Ce
0.8602 0.6603 0.3318 Ce
0.1093 0.8423 0.9207 Fe
0.3907 0.1577 0.4207 Fe
0.6093 0.6577 0.0793 Fe
0.8907 0.3423 0.5793 Fe
0.1178 0.5366 0.0191 C
0.3822 0.4634 0.5191 C
0.6178 0.9634 0.9809 C
0.8822 0.0366 0.4809 C
```

Properties
As for the space group: P2_12_12_1, No. 19. The spin magnetization is 0.000 μB per cell.


Energy relative to the most stable one, in kJ/mol of atoms: A 18.2; B 0.0